Li2Mn4OF8 after structural relaxation, computed with GGA+U.

Unit cell a=5.4536 b=5.4536 c=14.6806 alpha=90.82 beta=90.82 gamma=59.08
Closest atoms and distances in Å follow each position.
Sites, in units of the cell vectors:
1 Li 0.0120 0.9880 0.5000  6 F 2.07-2.22
2 Li 0.0288 0.9478 0.7867  1 O 1.93, 2 F 1.97-1.98
3 Li 0.9478 0.0288 0.2867  1 O 1.93, 2 F 1.97-1.98
4 Li 0.9880 0.0120 0.0000  6 F 2.07-2.22
5 Mn 0.3147 0.3383 0.8432  1 O 2.05, 4 F 2.12-2.27
6 Mn 0.3307 0.3392 0.1384  1 O 2.07, 4 F 2.13-2.28
7 Mn 0.3383 0.3147 0.3432  1 O 2.05, 4 F 2.12-2.27
8 Mn 0.3392 0.3307 0.6384  1 O 2.07, 4 F 2.13-2.28
9 Mn 0.6342 0.7058 0.1903  1 O 2.00, 2 F 2.10-2.14
10 Mn 0.6538 0.6776 0.9739  6 F 2.09-2.21
11 Mn 0.6776 0.6538 0.4739  6 F 2.09-2.21
12 Mn 0.7058 0.6342 0.6903  1 O 2.00, 2 F 2.10-2.14
13 O 0.0671 0.5975 0.7391  1 Li 1.93, 3 Mn 2.00-2.07
14 O 0.5975 0.0671 0.2391  1 Li 1.93, 3 Mn 2.00-2.07
15 F 0.0205 0.6703 0.4177  1 Li 2.08, 2 Mn 2.10-2.12
16 F 0.2855 0.6752 0.2425  1 Li 1.97, 1 Mn 2.14
17 F 0.2916 0.7032 0.9112  2 Li 2.10-2.28, 2 Mn 2.11-2.16
18 F 0.3094 0.9918 0.4154  1 Li 2.07, 2 Mn 2.09-2.14
19 F 0.3339 0.9804 0.0720  1 Li 2.08, 3 Mn 2.17-2.33
20 F 0.3490 0.9934 0.7466  1 Li 1.98, 1 Mn 2.10
21 F 0.3889 0.6578 0.5772  3 Mn 2.15-2.34, 1 Li 2.22
22 F 0.6578 0.3889 0.0772  3 Mn 2.15-2.34, 1 Li 2.22
23 F 0.6703 0.0205 0.9177  1 Li 2.08, 2 Mn 2.10-2.12
24 F 0.6752 0.2855 0.7425  1 Li 1.97, 1 Mn 2.14
25 F 0.6777 0.9591 0.5749  2 Mn 2.13-2.21, 1 Li 2.22
26 F 0.7032 0.2916 0.4112  2 Li 2.10-2.28, 2 Mn 2.11-2.16
27 F 0.9591 0.6777 0.0749  2 Mn 2.13-2.21, 1 Li 2.22
28 F 0.9804 0.3339 0.5720  1 Li 2.08, 3 Mn 2.17-2.33
29 F 0.9918 0.3094 0.9154  1 Li 2.07, 2 Mn 2.09-2.14
30 F 0.9934 0.3490 0.2466  1 Li 1.98, 1 Mn 2.10

Calculated values
Crystal system: monoclinic
Excess energy over the best structure of this formula in the dataset (kcal/mol of atoms): 0.000
Calculated volume (Å³/atom): 12.484
Total moment (μB/f.u.): 20.00